## Al2CrPb (PBE)

Data for crystalline Al2CrPb at its relaxed geometry.

Spin magnetization, μB per atom: 0.585
E, eV per atom: -5.0257
E_form, meV per atom: 178.6

CIF file:
```
data_Al2CrPb
_space_group_name_H-M_alt 'P 4/m m m'
_space_group_IT_number 123
_space_group_name_Hall '-P 4 2'
_cell_length_a 3.039
_cell_length_b 3.039
_cell_length_c 8.459
_cell_angle_alpha 90.00
_cell_angle_beta 90.00
_cell_angle_gamma 90.00
loop_
_atom_site_label
_atom_site_fract_x
_atom_site_fract_y
_atom_site_fract_z
Al1 0.000 0.000 0.175
Cr1 0.500 0.500 0.000
Pb1 0.500 0.500 0.500
```

=====

## Na2MnWN4 (PBE)

Data for crystalline Na2MnWN4 at its relaxed geometry.

Spin magnetization, μB per atom: 0.000
Energy relative to the elements, uncorrected, meV/atom: -313
E, eV per atom: -7.5712

CIF file:
```
data_Na2MnWN4
_space_group_name_H-M_alt 'P m m n'
_space_group_IT_number 59
_cell_length_a 5.802
_cell_length_b 6.450
_cell_length_c 6.073
_cell_angle_alpha 90.00
_cell_angle_beta 90.00
_cell_angle_gamma 90.00
loop_
_space_group_symop_operation_xyz
'x,y,z'
'-x,-y,-z'
'-x+1/2,-y+1/2,z'
'x+1/2,y+1/2,-z'
'x+1/2,-y,-z'
'-x+1/2,y,z'
'-x,y+1/2,-z'
'x,-y+1/2,z'
loop_
_atom_site_label
_atom_site_fract_x
_atom_site_fract_y
_atom_site_fract_z
Na1 0.250 0.002 0.229
Mn1 0.250 0.250 0.688
W1 0.250 0.750 0.674
N1 0.008 0.250 0.509
N2 0.250 0.005 0.835
```

=====

## Sm4Tm3 (PBE)

Data for crystalline Sm4Tm3 at its relaxed geometry.

Spin magnetization, μB per atom: 0.000
E, eV per atom: -4.5940
E_form, meV per atom: 19.0

CIF file:
```
data_Sm4Tm3
_space_group_name_H-M_alt 'C 1 2/m 1'
_space_group_IT_number 12
_cell_length_a 11.235
_cell_length_b 5.051
_cell_length_c 7.992
_cell_angle_alpha 90.00
_cell_angle_beta 98.19
_cell_angle_gamma 90.00
loop_
_space_group_symop_operation_xyz
'x,y,z'
'-x,-y,-z'
'-x,y,-z'
'x,-y,z'
'x+1/2,y+1/2,z'
'-x+1/2,-y+1/2,-z'
'-x+1/2,y+1/2,-z'
'x+1/2,-y+1/2,z'
loop_
_atom_site_label
_atom_site_fract_x
_atom_site_fract_y
_atom_site_fract_z
Sm1 0.142 0.000 0.427
Sm2 0.214 0.500 0.141
Tm1 0.000 0.000 0.000
Tm2 0.071 0.500 0.714
```

=====

## SrCa2Tl8 (PBE)

Data for crystalline SrCa2Tl8 at its relaxed geometry.

Spin magnetization, μB per atom: 0.000
E, eV per atom: -2.4443
E_form, meV per atom: -206.6

CIF file:
```
data_SrCa2Tl8
_space_group_name_H-M_alt 'C 1 2/m 1'
_space_group_IT_number 12
_cell_length_a 8.976
_cell_length_b 16.958
_cell_length_c 6.081
_cell_angle_alpha 90.00
_cell_angle_beta 132.00
_cell_angle_gamma 90.00
loop_
_space_group_symop_operation_xyz
'x,y,z'
'-x,-y,-z'
'-x,y,-z'
'x,-y,z'
'x+1/2,y+1/2,z'
'-x+1/2,-y+1/2,-z'
'-x+1/2,y+1/2,-z'
'x+1/2,-y+1/2,z'
loop_
_atom_site_label
_atom_site_fract_x
_atom_site_fract_y
_atom_site_fract_z
Sr1 0.000 0.000 0.000
Ca1 0.000 0.318 0.500
Tl1 0.000 0.201 0.000
Tl2 0.019 0.500 0.273
Tl3 0.235 0.134 0.749
```